[1]
Compound: HfTiP2S
Source: the Alexandria database
Functional: GGA-PBE
Structure: relaxed

Cell: 4.6764 4.6764 4.4686 Å, 90.00 90.00 90.00°
Last column: nearest neighbours and their distance in Å.
Sites, in units of the cell vectors:
Hf 0.0000 0.0000 0.0000  8 P 3.23, 4 S 3.31
Ti 0.5000 0.5000 0.5000  2 S 2.23, 4 P 2.34
P 0.0000 0.5000 0.5000  2 Ti 2.34
P 0.5000 0.0000 0.5000  2 Ti 2.34
S 0.5000 0.5000 0.0000  2 Ti 2.23

- energy above the most stable polymorph in this dataset (eV/atom) = 0.000
- space group = P4/mmm
- spin magnetization (μB/cell) = 0.00
- ΔE_f (raw) (eV/atom) = -0.05



[2]
Compound: HfTiP2S
Source: the Alexandria database
Functional: GGA-PBE
Structure: relaxed

Cell: 4.9371 4.9371 4.7778 Å, 90.00 90.00 90.00°
Last column: nearest neighbours and their distance in Å.
Sites, in units of the cell vectors:
Hf 0.0000 0.0000 0.0000  2 S 2.39, 4 P 2.47
Ti 0.5000 0.5000 0.5000  8 P 3.44, 4 S 3.49
P 0.0000 0.5000 0.0000  2 Hf 2.47
P 0.5000 0.0000 0.0000  2 Hf 2.47
S 0.0000 0.0000 0.5000  2 Hf 2.39

- energy above the most stable polymorph in this dataset (eV/atom) = 0.252
- space group = P4/mmm
- spin magnetization (μB/cell) = 0.06
- ΔE_f (raw) (eV/atom) = 0.21



[3]
Compound: HfTlP2S
Source: the Alexandria database
Functional: GGA-PBE
Structure: relaxed

Cell: 4.9262 4.9262 4.9578 Å, 90.00 90.00 90.00°
Last column: nearest neighbours and their distance in Å.
Sites, in units of the cell vectors:
Hf 0.0000 0.0000 0.0000  4 S 3.48, 8 P 3.49
Tl 0.5000 0.5000 0.5000  4 P 2.46, 2 S 2.48
P 0.0000 0.5000 0.5000  2 Tl 2.46
P 0.5000 0.0000 0.5000  2 Tl 2.46
S 0.5000 0.5000 0.0000  2 Tl 2.48

- energy above the most stable polymorph in this dataset (eV/atom) = 1.297
- space group = P4/mmm
- spin magnetization (μB/cell) = 0.00
- ΔE_f (raw) (eV/atom) = 1.16



[4]
Compound: HfTlP2S
Source: the Alexandria database
Functional: GGA-PBE
Structure: relaxed

Cell: 5.0674 5.0674 4.9691 Å, 90.00 90.00 90.00°
Last column: nearest neighbours and their distance in Å.
Sites, in units of the cell vectors:
Hf 0.0000 0.0000 0.0000  2 S 2.48, 4 P 2.53
Tl 0.5000 0.5000 0.5000  8 P 3.55, 4 S 3.58
P 0.0000 0.5000 0.0000  2 Hf 2.53
P 0.5000 0.0000 0.0000  2 Hf 2.53
S 0.0000 0.0000 0.5000  2 Hf 2.48

- energy above the most stable polymorph in this dataset (eV/atom) = 0.000
- space group = P4/mmm
- spin magnetization (μB/cell) = 0.00
- ΔE_f (raw) (eV/atom) = -0.13